Here is a relaxed structure of TiCo2Os from Alexandria. Energies are from PBE.

**ΔH_f (0 K)**: -0.213 eV/atom
**E above lowest polymorph**: 0.000 eV per atom
**Space group**: P4/mmm (123)
**Raw total energy**: -8.5472 eV/atom

a b c (Å): 3.6448 3.7084 3.7084
angles (deg): 90.00 90.00 90.00
Fractional coordinates of all 4 atoms:
Co (0.0000, 0.0000, 0.5000)
Ti (0.5000, 0.0000, 0.0000)
Co (0.0000, 0.5000, 0.0000)
Os (0.5000, 0.5000, 0.5000)